Entry from Alexandria via LeMat-Bulk: a relaxed H2OsRh crystal (GGA-PBE).

Values from the calculation:
The space group is Fm-3m. Its volume is 145 Å³ per cell. For the total energy, the calculation gives -5.382 eV per atom.

Cell lengths 5.2523, 5.2523, 5.2523 Å; angles 90.00, 90.00, 90.00 degrees
Fractional positions:
H1 0.2500 0.2500 0.2500
H2 0.2500 0.2500 0.7500
H3 0.2500 0.7500 0.2500
H4 0.2500 0.7500 0.7500
H5 0.7500 0.2500 0.2500
H6 0.7500 0.2500 0.7500
H7 0.7500 0.7500 0.2500
H8 0.7500 0.7500 0.7500
Os1 0.0000 0.0000 0.0000
Os2 0.0000 0.5000 0.5000
Os3 0.5000 0.0000 0.5000
Os4 0.5000 0.5000 0.0000
Rh1 0.0000 0.0000 0.5000
Rh2 0.0000 0.5000 0.0000
Rh3 0.5000 0.0000 0.0000
Rh4 0.5000 0.5000 0.5000

---

Entry from Alexandria via LeMat-Bulk: a relaxed H2OsRh2 crystal (GGA-PBE).

Values from the calculation:
The space group is P4/mbm. Its volume is 102 Å³ per cell. For the total energy, the calculation gives -6.187 eV per atom.

Cell lengths 6.0379, 6.0379, 2.7980 Å; angles 90.00, 90.00, 90.00 degrees
Fractional positions:
H1 0.2148 0.2852 0.0000
H2 0.2852 0.7852 0.0000
H3 0.7148 0.2148 0.0000
H4 0.7852 0.7148 0.0000
Os1 0.0000 0.0000 0.0000
Os2 0.5000 0.5000 0.0000
Rh1 0.1524 0.6524 0.5000
Rh2 0.3476 0.1524 0.5000
Rh3 0.6524 0.8476 0.5000
Rh4 0.8476 0.3476 0.5000

---

Entry from Alexandria via LeMat-Bulk: a relaxed H2OsRh crystal (GGA-PBE).

Values from the calculation:
The space group is R-3m. Its volume is 107 Å³ per cell. For the total energy, the calculation gives -5.937 eV per atom.

Cell lengths 2.8838, 2.8838, 14.8244 Å; angles 90.00, 90.00, 120.00 degrees
Fractional positions:
H1 0.0000 0.0000 0.1192
H2 0.0000 0.0000 0.8808
H3 0.3333 0.6667 0.5475
H4 0.3333 0.6667 0.7858
H5 0.6667 0.3333 0.2142
H6 0.6667 0.3333 0.4525
Os1 0.0000 0.0000 0.0000
Os2 0.3333 0.6667 0.6667
Os3 0.6667 0.3333 0.3333
Rh1 0.0000 0.0000 0.5000
Rh2 0.3333 0.6667 0.1667
Rh3 0.6667 0.3333 0.8333

---

Entry from Alexandria via LeMat-Bulk: a relaxed H2OsRh2 crystal (GGA-PBE).

Values from the calculation:
The space group is I4/mmm. Its volume is 97 Å³ per cell. For the total energy, the calculation gives -6.429 eV per atom.

Cell lengths 2.7839, 2.7839, 12.5434 Å; angles 90.00, 90.00, 90.00 degrees
Fractional positions:
H1 0.0000 0.5000 0.2500
H2 0.0000 0.5000 0.7500
H3 0.5000 0.0000 0.2500
H4 0.5000 0.0000 0.7500
Os1 0.0000 0.0000 0.0000
Os2 0.5000 0.5000 0.5000
Rh1 0.0000 0.0000 0.3517
Rh2 0.0000 0.0000 0.6483
Rh3 0.5000 0.5000 0.1483
Rh4 0.5000 0.5000 0.8517

---

Entry from Alexandria via LeMat-Bulk: a relaxed HOsRh3 crystal (GGA-PBE).

Values from the calculation:
The space group is Pm-3m. Its volume is 59 Å³ per cell. For the total energy, the calculation gives -7.170 eV per atom.

Cell lengths 3.8970, 3.8970, 3.8970 Å; angles 90.00, 90.00, 90.00 degrees
Fractional positions:
H1 0.0000 0.0000 0.0000
Os1 0.5000 0.5000 0.5000
Rh1 0.0000 0.0000 0.5000
Rh2 0.0000 0.5000 0.0000
Rh3 0.5000 0.0000 0.0000

---

Entry from Alexandria via LeMat-Bulk: a relaxed H2OsRh crystal (GGA-PBE).

Values from the calculation:
The space group is I-42d. Its volume is 142 Å³ per cell. For the total energy, the calculation gives -5.976 eV per atom.

Cell lengths 4.1378, 4.1378, 8.2811 Å; angles 90.00, 90.00, 90.00 degrees
Fractional positions:
H1 0.2432 0.2500 0.1250
H2 0.2500 0.7432 0.3750
H3 0.2500 0.7568 0.8750
H4 0.2568 0.2500 0.6250
H5 0.7432 0.7500 0.6250
H6 0.7500 0.2432 0.8750
H7 0.7500 0.2568 0.3750
H8 0.7568 0.7500 0.1250
Os1 0.0000 0.0000 0.5000
Os2 0.0000 0.5000 0.7500
Os3 0.5000 0.0000 0.2500
Os4 0.5000 0.5000 0.0000
Rh1 0.0000 0.0000 0.0000
Rh2 0.0000 0.5000 0.2500
Rh3 0.5000 0.0000 0.7500
Rh4 0.5000 0.5000 0.5000

---

Entry from Alexandria via LeMat-Bulk: a relaxed H12Os3Rh5 crystal (GGA-PBE).

Values from the calculation:
The space group is Ia-3d. Its volume is 627 Å³ per cell. For the total energy, the calculation gives -5.149 eV per atom.

Cell lengths 9.3369, 9.3369, 9.3369 Å; angles 109.47, 109.47, 109.47 degrees
Fractional positions:
H1 0.0612 0.2292 0.1451
H2 0.0612 0.3320 0.9161
H3 0.0839 0.6451 0.4159
H4 0.0841 0.7292 0.6680
H5 0.0841 0.8549 0.4161
H6 0.0839 0.9388 0.6680
H7 0.1451 0.0612 0.2292
H8 0.1451 0.5839 0.9159
H9 0.1680 0.2292 0.5841
H10 0.1680 0.4388 0.5839
H11 0.2292 0.1451 0.0612
H12 0.2292 0.5841 0.1680
H13 0.2708 0.3320 0.9159
H14 0.2708 0.4388 0.3549
H15 0.3320 0.9161 0.0612
H16 0.3320 0.9159 0.2708
H17 0.3549 0.2708 0.4388
H18 0.3549 0.5841 0.9161
H19 0.4159 0.0839 0.6451
H20 0.4161 0.0841 0.8549
H21 0.4161 0.8320 0.5612
H22 0.4159 0.8320 0.7708
H23 0.4388 0.3549 0.2708
H24 0.4388 0.5839 0.1680
H25 0.5612 0.4161 0.8320
H26 0.5612 0.6451 0.7292
H27 0.5841 0.1680 0.2292
H28 0.5839 0.1680 0.4388
H29 0.5839 0.9159 0.1451
H30 0.5841 0.9161 0.3549
H31 0.6451 0.4159 0.0839
H32 0.6451 0.7292 0.5612
H33 0.6680 0.0841 0.7292
H34 0.6680 0.0839 0.9388
H35 0.7292 0.5612 0.6451
H36 0.7292 0.6680 0.0841
H37 0.7708 0.4159 0.8320
H38 0.7708 0.8549 0.9388
H39 0.8320 0.5612 0.4161
H40 0.8320 0.7708 0.4159
H41 0.8549 0.4161 0.0841
H42 0.8549 0.9388 0.7708
H43 0.9161 0.0612 0.3320
H44 0.9159 0.1451 0.5839
H45 0.9159 0.2708 0.3320
H46 0.9161 0.3549 0.5841
H47 0.9388 0.6680 0.0839
H48 0.9388 0.7708 0.8549
Os1 0.1250 0.2500 0.3750
Os2 0.1250 0.3750 0.7500
Os3 0.2500 0.3750 0.1250
Os4 0.2500 0.8750 0.6250
Os5 0.3750 0.1250 0.2500
Os6 0.3750 0.7500 0.1250
Os7 0.6250 0.2500 0.8750
Os8 0.6250 0.8750 0.7500
Os9 0.7500 0.1250 0.3750
Os10 0.7500 0.6250 0.8750
Os11 0.8750 0.6250 0.2500
Os12 0.8750 0.7500 0.6250
Rh1 0.0000 0.0000 0.0000
Rh2 0.0000 0.0000 0.5000
Rh3 0.0000 0.5000 0.0000
Rh4 0.0000 0.5000 0.5000
Rh5 0.1250 0.7500 0.8750
Rh6 0.1250 0.8750 0.2500
Rh7 0.2500 0.1250 0.8750
Rh8 0.2500 0.6250 0.3750
Rh9 0.3750 0.2500 0.6250
Rh10 0.3750 0.6250 0.7500
Rh11 0.5000 0.0000 0.0000
Rh12 0.5000 0.0000 0.5000
Rh13 0.5000 0.5000 0.0000
Rh14 0.5000 0.5000 0.5000
Rh15 0.6250 0.3750 0.2500
Rh16 0.6250 0.7500 0.3750
Rh17 0.7500 0.3750 0.6250
Rh18 0.7500 0.8750 0.1250
Rh19 0.8750 0.1250 0.7500
Rh20 0.8750 0.2500 0.1250

---

Entry from Alexandria via LeMat-Bulk: a relaxed HOsRh3 crystal (GGA-PBE).

Values from the calculation:
The space group is Pm-3m. Its volume is 105 Å³ per cell. For the total energy, the calculation gives -5.488 eV per atom.

Cell lengths 4.7174, 4.7174, 4.7174 Å; angles 90.00, 90.00, 90.00 degrees
Fractional positions:
H1 0.0000 0.0000 0.0000
Os1 0.5000 0.5000 0.5000
Rh1 0.0000 0.5000 0.5000
Rh2 0.5000 0.0000 0.5000
Rh3 0.5000 0.5000 0.0000

---

Entry from Alexandria via LeMat-Bulk: a relaxed HOs2RuRh crystal (GGA-PBE).

Values from the calculation:
The space group is P4/mmm. Its volume is 59 Å³ per cell. For the total energy, the calculation gives -8.260 eV per atom.

Cell lengths 3.8933, 3.8933, 3.8970 Å; angles 90.00, 90.00, 90.00 degrees
Fractional positions:
H1 0.0000 0.0000 0.0000
Os1 0.0000 0.5000 0.0000
Os2 0.5000 0.0000 0.0000
Ru1 0.5000 0.5000 0.5000
Rh1 0.0000 0.0000 0.5000

---

Entry from Alexandria via LeMat-Bulk: a relaxed HOsRuRh2 crystal (GGA-PBE).

Values from the calculation:
The space group is P4/mmm. Its volume is 59 Å³ per cell. For the total energy, the calculation gives -7.557 eV per atom.

Cell lengths 3.8656, 3.8656, 3.9367 Å; angles 90.00, 90.00, 90.00 degrees
Fractional positions:
H1 0.0000 0.0000 0.0000
Os1 0.5000 0.5000 0.5000
Ru1 0.0000 0.0000 0.5000
Rh1 0.0000 0.5000 0.0000
Rh2 0.5000 0.0000 0.0000

---

Entry from Alexandria via LeMat-Bulk: a relaxed HOsRuRh2 crystal (GGA-PBE).

Values from the calculation:
The space group is P4/mmm. Its volume is 59 Å³ per cell. For the total energy, the calculation gives -7.530 eV per atom.

Cell lengths 3.8645, 3.8645, 3.9496 Å; angles 90.00, 90.00, 90.00 degrees
Fractional positions:
H1 0.0000 0.0000 0.0000
Os1 0.0000 0.0000 0.5000
Ru1 0.5000 0.5000 0.5000
Rh1 0.0000 0.5000 0.0000
Rh2 0.5000 0.0000 0.0000

---

Entry from Alexandria via LeMat-Bulk: a relaxed TaHOsRh2 crystal (GGA-PBE).

Values from the calculation:
The space group is P4/mmm. Its volume is 62 Å³ per cell. For the total energy, the calculation gives -8.496 eV per atom.

Cell lengths 3.8703, 3.8703, 4.1350 Å; angles 90.00, 90.00, 90.00 degrees
Fractional positions:
Ta1 0.0000 0.0000 0.0000
H1 0.0000 0.0000 0.5000
Os1 0.5000 0.5000 0.0000
Rh1 0.0000 0.5000 0.5000
Rh2 0.5000 0.0000 0.5000

---

Q: What is the formula in the fifth record?
A: HOsRh3

---

Please write out number 10 again, unchanged.
Entry from Alexandria via LeMat-Bulk: a relaxed HOsRuRh2 crystal (GGA-PBE).

Values from the calculation:
The space group is P4/mmm. Its volume is 59 Å³ per cell. For the total energy, the calculation gives -7.557 eV per atom.

Cell lengths 3.8656, 3.8656, 3.9367 Å; angles 90.00, 90.00, 90.00 degrees
Fractional positions:
H1 0.0000 0.0000 0.0000
Os1 0.5000 0.5000 0.5000
Ru1 0.0000 0.0000 0.5000
Rh1 0.0000 0.5000 0.0000
Rh2 0.5000 0.0000 0.0000

---

Repeat the sixth record exactly.
Entry from Alexandria via LeMat-Bulk: a relaxed H2OsRh crystal (GGA-PBE).

Values from the calculation:
The space group is I-42d. Its volume is 142 Å³ per cell. For the total energy, the calculation gives -5.976 eV per atom.

Cell lengths 4.1378, 4.1378, 8.2811 Å; angles 90.00, 90.00, 90.00 degrees
Fractional positions:
H1 0.2432 0.2500 0.1250
H2 0.2500 0.7432 0.3750
H3 0.2500 0.7568 0.8750
H4 0.2568 0.2500 0.6250
H5 0.7432 0.7500 0.6250
H6 0.7500 0.2432 0.8750
H7 0.7500 0.2568 0.3750
H8 0.7568 0.7500 0.1250
Os1 0.0000 0.0000 0.5000
Os2 0.0000 0.5000 0.7500
Os3 0.5000 0.0000 0.2500
Os4 0.5000 0.5000 0.0000
Rh1 0.0000 0.0000 0.0000
Rh2 0.0000 0.5000 0.2500
Rh3 0.5000 0.0000 0.7500
Rh4 0.5000 0.5000 0.5000